First-principles (PBE) data for crystalline PuBeNi at its relaxed geometry, as listed in the Alexandria database.

For the density of states at the Fermi level, the calculation gives 4.57 states/eV/f.u. For the total DFT energy (no corrections), the calculation gives -7.796 eV/atom. The total moment is 0.00 μB per formula unit. Its formation energy is 0.15 eV per atom.

a b c (Å): 7.5322 7.5322 7.5322
angles (deg): 154.61 154.61 36.21
Last column: nearest neighbours and their distance in Å.
Sites, in units of the cell vectors:
Pu 0.2153 0.2153 0.0000  4 Pu 2.54, 1 Ni 2.76
Pu 0.7847 0.7847 0.0000  4 Pu 2.54, 1 Ni 2.76
Be 0.0000 0.5000 0.5000  4 Ni 2.11, 4 Be 2.34
Be 0.5000 0.0000 0.5000  4 Ni 2.11, 4 Be 2.34
Ni 0.4084 0.4084 0.0000  4 Be 2.11
Ni 0.5916 0.5916 0.0000  4 Be 2.11

***

First-principles (PBE) data for crystalline BeAgSe2 at its relaxed geometry, as listed in the Alexandria database.

For the density of states at the Fermi level, the calculation gives 1.69 states/eV/f.u. Its formation energy without anion corrections is 0.06 eV per atom. For the total DFT energy (no corrections), the calculation gives -3.330 eV/atom. The total moment is 0.00 μB per formula unit.

a b c (Å): 6.9115 6.9115 6.9115
angles (deg): 152.84 150.01 40.90
Last column: nearest neighbours and their distance in Å.
Sites, in units of the cell vectors:
Be 0.0000 0.0000 0.0000  2 Se 2.29
Ag 0.7485 0.2485 0.5000  6 Se 2.80-2.90
Se 0.1247 0.6247 0.5000  2 Be 2.29
Se 0.4152 0.4152 0.0000  4 Be 2.65, 2 Ag 2.80

***

First-principles (PBE) data for crystalline AgPt4Br at its relaxed geometry, as listed in the Alexandria database.

For the density of states at the Fermi level, the calculation gives 7.20 states/eV/f.u. Its formation energy without anion corrections is 0.43 eV per atom. For the total DFT energy (no corrections), the calculation gives -4.353 eV/atom. The total moment is 0.00 μB per formula unit.

a b c (Å): 5.3816 5.3816 5.3816
angles (deg): 60.00 60.00 60.00
Last column: nearest neighbours and their distance in Å.
Sites, in units of the cell vectors:
Ag 0.0000 0.0000 0.0000  12 Pt 3.15, 4 Br 3.30
Pt 0.3744 0.3744 0.3744  6 Pt 2.68-2.70
Pt 0.3744 0.3744 0.8767  6 Pt 2.68-2.70
Pt 0.3744 0.8767 0.3744  6 Pt 2.68-2.70
Pt 0.8767 0.3744 0.3744  6 Pt 2.68-2.70
Br 0.7500 0.7500 0.7500  12 Pt 3.16, 4 Ag 3.30

***

First-principles (PBE) data for crystalline AcPm5Dy5 at its relaxed geometry, as listed in the Alexandria database.

For the density of states at the Fermi level, the calculation gives 19.02 states/eV/f.u. For the total DFT energy (no corrections), the calculation gives -4.343 eV/atom. The total moment is 0.00 μB per formula unit. Its formation energy is 0.28 eV per atom.

a b c (Å): 6.2066 6.2066 11.7307
angles (deg): 90.00 90.00 120.00
Last column: nearest neighbours and their distance in Å.
Sites, in units of the cell vectors:
Ac 0.0000 0.0000 0.0000  5 Pm 3.58-3.88
Pm 0.0000 0.0000 0.3312  9 Dy 3.66-3.68, 1 Ac 3.88, 1 Pm 3.96
Pm 0.0000 0.0000 0.6688  9 Dy 3.66-3.68, 1 Ac 3.88, 1 Pm 3.96
Pm 0.3333 0.6667 0.1601  7 Pm 3.76-4.11, 3 Dy 3.79, 3 Ac 4.05
Pm 0.3333 0.6667 0.8399  7 Pm 3.76-4.11, 3 Dy 3.79, 3 Ac 4.05
Pm 0.6667 0.3333 0.0000  2 Dy 3.12
Dy 0.9996 0.4998 0.5000  6 Dy 3.10-3.28
Dy 0.5002 0.0004 0.5000  6 Dy 3.10-3.28
Dy 0.5002 0.4998 0.5000  6 Dy 3.10-3.28
Dy 0.6667 0.3333 0.2658  1 Pm 3.12, 3 Dy 3.28
Dy 0.6667 0.3333 0.7342  1 Pm 3.12, 3 Dy 3.28

***

First-principles (PBE) data for crystalline LaSm5Se8 at its relaxed geometry, as listed in the Alexandria database.

For the density of states at the Fermi level, the calculation gives 9.46 states/eV/f.u. Its formation energy without anion corrections is -1.75 eV per atom. For the total DFT energy (no corrections), the calculation gives -5.777 eV/atom. The total moment is 0.00 μB per formula unit.

a b c (Å): 8.6456 8.6456 8.6456
angles (deg): 60.00 60.00 60.00
Last column: nearest neighbours and their distance in Å.
Sites, in units of the cell vectors:
La 0.0000 0.0000 0.0000  4 Se 2.87
Sm 0.1277 0.6241 0.6241  6 Se 2.95-2.96
Sm 0.2500 0.2500 0.2500  4 Se 2.80
Sm 0.6241 0.1277 0.6241  6 Se 2.95-2.96
Sm 0.6241 0.6241 0.1277  6 Se 2.95-2.96
Sm 0.6241 0.6241 0.6241  6 Se 2.95-2.96
Se 0.3820 0.3820 0.3820  4 Sm 2.80-2.96
Se 0.3820 0.3820 0.8539  4 Sm 2.80-2.96
Se 0.3820 0.8539 0.3820  4 Sm 2.80-2.96
Se 0.4063 0.8646 0.8646  1 La 2.87, 3 Sm 2.95
Se 0.8539 0.3820 0.3820  4 Sm 2.80-2.96
Se 0.8646 0.4063 0.8646  1 La 2.87, 3 Sm 2.95
Se 0.8646 0.8646 0.4063  1 La 2.87, 3 Sm 2.95
Se 0.8646 0.8646 0.8646  1 La 2.87, 3 Sm 2.95

***

First-principles (PBE) data for crystalline Tl3CrC at its relaxed geometry, as listed in the Alexandria database.

For the density of states at the Fermi level, the calculation gives 17.16 states/eV/f.u. For the total DFT energy (no corrections), the calculation gives -3.214 eV/atom. The total moment is 0.00 μB per formula unit. Its formation energy is 1.98 eV per atom.

a b c (Å): 5.1746 5.1746 5.1746
angles (deg): 90.00 90.00 90.00
Last column: nearest neighbours and their distance in Å.
Sites, in units of the cell vectors:
Tl 0.0000 0.0000 0.5000  2 Cr 2.59
Tl 0.0000 0.5000 0.0000  2 Cr 2.59
Tl 0.5000 0.0000 0.0000  2 Cr 2.59
Cr 0.0000 0.0000 0.0000  6 Tl 2.59
C 0.5000 0.5000 0.5000  12 Tl 3.66

***

First-principles (PBE) data for crystalline BeAlAg2 at its relaxed geometry, as listed in the Alexandria database.

For the density of states at the Fermi level, the calculation gives 1.50 states/eV/f.u. For the total DFT energy (no corrections), the calculation gives -3.149 eV/atom. The total moment is 0.00 μB per formula unit. Its formation energy is 0.14 eV per atom.

a b c (Å): 4.8501 4.8501 4.6997
angles (deg): 109.27 109.27 35.63
Last column: nearest neighbours and their distance in Å.
Sites, in units of the cell vectors:
Be 0.0000 0.0000 0.0000  4 Ag 2.48
Al 0.5000 0.5000 0.5000  4 Be 2.78, 6 Ag 2.78-2.83, 2 Al 2.97
Ag 0.2746 0.2746 0.7690  2 Be 2.48
Ag 0.7254 0.7254 0.2310  2 Be 2.48

***

First-principles (PBE) data for crystalline Tb2Nd3In at its relaxed geometry, as listed in the Alexandria database.

For the density of states at the Fermi level, the calculation gives 7.36 states/eV/f.u. For the total DFT energy (no corrections), the calculation gives -4.539 eV/atom. The total moment is 0.00 μB per formula unit. Its formation energy is -0.15 eV per atom.

a b c (Å): 8.0742 8.0742 4.9451
angles (deg): 90.00 90.00 143.98
Last column: nearest neighbours and their distance in Å.
Sites, in units of the cell vectors:
Tb 0.1622 0.8378 0.0000  8 Nd 3.51-3.60, 2 In 3.53, 2 Tb 3.67
Tb 0.8378 0.1622 0.0000  8 Nd 3.51-3.60, 2 In 3.53, 2 Tb 3.67
Nd 0.0000 0.0000 0.5000  4 Tb 3.51, 4 In 3.51, 4 Nd 3.59
Nd 0.3322 0.6678 0.5000  6 Tb 3.51-3.60, 4 Nd 3.55-3.59, 2 In 3.57
Nd 0.6678 0.3322 0.5000  6 Tb 3.51-3.60, 4 Nd 3.55-3.59, 2 In 3.57
In 0.5000 0.5000 0.0000  8 Nd 3.51-3.57, 4 Tb 3.53